# 1
Below is crystalline Al2IrCl at its relaxed geometry, with properties calculated at the PBE level.

calculated volume = 17.341 Å³ per atom
density = 6.7 g/cm3
magnetic moment = 0.00 μB/f.u.
distance to the lowest polymorph of the same formula = 0.036 eV/atom

Lattice parameters (Å, degrees): 7.4054 7.4054 2.9707 90.02 90.02 25.20
Closest atoms and distances in Å follow each position.
Element x y z (fractional)
Ir1 0.3122 0.3122 0.0002  8 Al 2.59-2.62
Al1 0.9108 0.9108 0.5003  4 Ir 2.62, 2 Cl 2.69, 1 Al 2.80
Al2 0.7173 0.7173 0.5003  1 Cl 2.28
Cl1 0.5597 0.5597 0.4990  1 Al 2.28



# 2
Below is crystalline Al2IrCl at its relaxed geometry, with properties calculated at the PBE level.

calculated volume = 18.520 Å³ per atom
density = 6.3 g/cm3
magnetic moment = 0.00 μB/f.u.
distance to the lowest polymorph of the same formula = 0.963 eV/atom

Lattice parameters (Å, degrees): 6.3549 6.3549 6.3549 147.44 147.44 46.72
Closest atoms and distances in Å follow each position.
Element x y z (fractional)
Ir1 0.7500 0.2500 0.5000  4 Al 2.52
Al1 0.0000 0.0000 0.0000  4 Cl 2.52
Al2 0.2500 0.7500 0.5000  4 Ir 2.52
Cl1 0.5000 0.5000 0.0000  4 Al 2.52



# 3
Below is crystalline Al2IrCl at its relaxed geometry, with properties calculated at the PBE level.

calculated volume = 19.159 Å³ per atom
density = 6.1 g/cm3
magnetic moment = 0.11 μB/f.u.
distance to the lowest polymorph of the same formula = 0.959 eV/atom

Lattice parameters (Å, degrees): 3.0482 6.2755 4.0062 90.00 90.00 90.00
Closest atoms and distances in Å follow each position.
Element x y z (fractional)
Ir1 0.0000 0.5000 0.5000  4 Al 2.52
Al1 0.0000 0.0000 0.0000  4 Cl 2.52
Al2 0.5000 0.5000 0.0000  4 Ir 2.52
Cl1 0.5000 0.0000 0.5000  4 Al 2.52



# 4
Below is crystalline Al2IrCl at its relaxed geometry, with properties calculated at the PBE level.

calculated volume = 18.285 Å³ per atom
density = 6.4 g/cm3
magnetic moment = 0.00 μB/f.u.
distance to the lowest polymorph of the same formula = 0.775 eV/atom

Lattice parameters (Å, degrees): 5.2156 5.2156 5.2156 146.01 109.13 80.98
Closest atoms and distances in Å follow each position.
Element x y z (fractional)
Ir1 0.2500 0.7500 0.5000  4 Al 2.46
Al1 0.0073 0.0073 0.0000  2 Ir 2.46, 2 Cl 2.55
Al2 0.4927 0.4927 0.0000  2 Ir 2.46, 2 Cl 2.55
Cl1 0.7500 0.2500 0.5000  4 Al 2.55



# 5
Below is crystalline Al2IrCl at its relaxed geometry, with properties calculated at the PBE level.

calculated volume = 16.391 Å³ per atom
density = 7.1 g/cm3
magnetic moment = 0.00 μB/f.u.
distance to the lowest polymorph of the same formula = 0.893 eV/atom

Lattice parameters (Å, degrees): 4.5261 4.5261 4.5261 60.00 60.00 60.00
Closest atoms and distances in Å follow each position.
Element x y z (fractional)
Ir1 0.5000 0.5000 0.5000  8 Al 2.77
Al1 0.2500 0.2500 0.2500  4 Ir 2.77, 4 Cl 2.77
Al2 0.7500 0.7500 0.7500  4 Cl 2.77, 4 Ir 2.77
Cl1 0.0000 0.0000 0.0000  8 Al 2.77



# 6
Below is crystalline Al2IrCl at its relaxed geometry, with properties calculated at the PBE level.

calculated volume = 16.469 Å³ per atom
density = 7.1 g/cm3
magnetic moment = 0.00 μB/f.u.
distance to the lowest polymorph of the same formula = 0.121 eV/atom

Lattice parameters (Å, degrees): 3.0173 2.9911 7.2995 89.98 90.00 90.00
Closest atoms and distances in Å follow each position.
Element x y z (fractional)
Ir1 0.5000 0.7500 0.7500  8 Al 2.61
Al1 0.0000 0.2497 0.9580  4 Ir 2.61, 2 Cl 2.61
Al2 0.0000 0.2503 0.5420  4 Ir 2.61, 2 Cl 2.61
Cl1 0.5000 0.2500 0.2500  4 Al 2.61



# 7
Below is crystalline Al2IrCl at its relaxed geometry, with properties calculated at the PBE level.

calculated volume = 22.159 Å³ per atom
density = 5.3 g/cm3
magnetic moment = 0.00 μB/f.u.
distance to the lowest polymorph of the same formula = 0.336 eV/atom

Lattice parameters (Å, degrees): 8.5663 8.5663 8.5663 160.06 155.56 31.74
Closest atoms and distances in Å follow each position.
Element x y z (fractional)
Ir1 0.1943 0.6943 0.5000  6 Al 2.47-2.49
Al1 0.0741 0.0741 0.0000  2 Ir 2.47, 4 Cl 2.75
Al2 0.7450 0.2450 0.5000  4 Ir 2.49
Cl1 0.4865 0.4865 0.0000  4 Al 2.75, 2 Cl 2.97



# 8
Below is crystalline Al4IrCl at its relaxed geometry, with properties calculated at the PBE level.

uncorrected energy = -4.0172 eV per atom
calculated volume = 16.772 Å³ per atom
density = 5.5 g/cm3
magnetic moment = 0.00 μB/f.u.

Lattice parameters (Å, degrees): 5.2210 5.2210 5.2210 60.00 60.00 60.00
Closest atoms and distances in Å follow each position.
Element x y z (fractional)
Al1 0.8778 0.3741 0.3741  6 Al 2.59-2.63
Al2 0.3741 0.3741 0.8778  6 Al 2.59-2.63
Al3 0.3741 0.8778 0.3741  6 Al 2.59-2.63
Al4 0.3741 0.3741 0.3741  6 Al 2.59-2.63
Ir1 0.0000 0.0000 0.0000  12 Al 3.06, 4 Cl 3.20
Cl1 0.7500 0.7500 0.7500  12 Al 3.06, 4 Ir 3.20



# 9
Below is crystalline Al2IrCl at its relaxed geometry, with properties calculated at the PBE level.

calculated volume = 15.874 Å³ per atom
density = 7.4 g/cm3
magnetic moment = 0.00 μB/f.u.
distance to the lowest polymorph of the same formula = 0.872 eV/atom

Lattice parameters (Å, degrees): 4.6634 4.6634 4.6634 126.42 126.42 79.20
Closest atoms and distances in Å follow each position.
Element x y z (fractional)
Ir1 0.7500 0.2500 0.5000  8 Al 2.77, 4 Cl 2.97
Al1 0.0000 0.0000 0.0000  4 Cl 2.77, 4 Ir 2.77, 4 Al 2.97
Al2 0.5000 0.5000 0.0000  4 Ir 2.77, 4 Cl 2.77, 4 Al 2.97
Cl1 0.2500 0.7500 0.5000  8 Al 2.77, 4 Ir 2.97



# 10
Below is crystalline AlIr4Cl at its relaxed geometry, with properties calculated at the PBE level.

uncorrected energy = -6.0600 eV per atom
calculated volume = 17.016 Å³ per atom
density = 13.5 g/cm3
magnetic moment = 2.53 μB/f.u.

Lattice parameters (Å, degrees): 5.2462 5.2462 5.2462 60.00 60.00 60.00
Closest atoms and distances in Å follow each position.
Element x y z (fractional)
Al1 0.2500 0.2500 0.2500  12 Ir 3.08, 4 Cl 3.21
Ir1 0.6247 0.6247 0.1259  6 Ir 2.62-2.63
Ir2 0.6247 0.1259 0.6247  6 Ir 2.62-2.63
Ir3 0.6247 0.6247 0.6247  6 Ir 2.62-2.63
Ir4 0.1259 0.6247 0.6247  6 Ir 2.62-2.63
Cl1 0.0000 0.0000 0.0000  12 Ir 3.08, 4 Al 3.21



# 11
Below is crystalline Al2IrCl at its relaxed geometry, with properties calculated at the PBE level.

calculated volume = 15.914 Å³ per atom
density = 7.3 g/cm3
magnetic moment = 0.00 μB/f.u.
distance to the lowest polymorph of the same formula = 0.470 eV/atom

Lattice parameters (Å, degrees): 4.7512 4.7514 2.8337 85.99 85.99 89.64
Closest atoms and distances in Å follow each position.
Element x y z (fractional)
Ir1 0.0000 0.5000 0.5000  8 Al 2.68-2.85, 2 Ir 2.83
Al1 0.0000 0.0000 0.0000  4 Cl 2.68-2.85, 4 Ir 2.68-2.85, 2 Al 2.83
Al2 0.5000 0.5000 0.0000  4 Ir 2.68-2.85, 4 Cl 2.68-2.85, 2 Al 2.83
Cl1 0.5000 0.0000 0.5000  8 Al 2.68-2.85, 2 Cl 2.83



# 12
Below is crystalline Al2IrCl at its relaxed geometry, with properties calculated at the PBE level.

calculated volume = 18.025 Å³ per atom
density = 6.5 g/cm3
magnetic moment = 0.00 μB/f.u.
distance to the lowest polymorph of the same formula = 0.678 eV/atom

Lattice parameters (Å, degrees): 2.9343 2.9343 8.3737 90.00 90.00 90.00
Closest atoms and distances in Å follow each position.
Element x y z (fractional)
Ir1 0.5000 0.5000 0.8203  4 Al 2.51
Al1 0.0000 0.0000 0.9879  4 Ir 2.51
Al2 0.5000 0.5000 0.2449  4 Cl 2.68, 8 Al 2.93-2.99
Cl1 0.0000 0.0000 0.4468  4 Al 2.68, 4 Cl 2.93



# 13
Below is crystalline Al2IrCl at its relaxed geometry, with properties calculated at the PBE level.

calculated volume = 16.967 Å³ per atom
density = 6.9 g/cm3
magnetic moment = 0.00 μB/f.u.
distance to the lowest polymorph of the same formula = 0.280 eV/atom

Lattice parameters (Å, degrees): 7.7510 7.7510 7.7510 24.03 24.03 24.03
Closest atoms and distances in Å follow each position.
Element x y z (fractional)
Ir1 0.7500 0.7500 0.7500  6 Al 2.50
Al1 0.0093 0.0093 0.0093  3 Ir 2.50, 3 Cl 2.80
Al2 0.4907 0.4907 0.4907  3 Ir 2.50, 3 Cl 2.80
Cl1 0.2500 0.2500 0.2500  6 Al 2.80



# 14
Below is crystalline MnAl2IrCl at its relaxed geometry, with properties calculated at the PBE level.

uncorrected energy = -4.8854 eV per atom
calculated volume = 19.742 Å³ per atom
density = 5.7 g/cm3
magnetic moment = 0.64 μB/f.u.

Lattice parameters (Å, degrees): 4.7829 4.7829 4.3149 90.00 90.00 90.00
Closest atoms and distances in Å follow each position.
Element x y z (fractional)
Ir1 0.0000 0.0000 0.5000  2 Mn 2.16
Al1 0.0000 0.5000 0.0000  2 Mn 2.39
Al2 0.5000 0.0000 0.0000  2 Mn 2.39
Mn1 0.0000 0.0000 0.0000  2 Ir 2.16, 4 Al 2.39
Cl1 0.5000 0.5000 0.5000  8 Al 3.22, 4 Ir 3.38